No. 1
Material: ZrAlOs2
Method: DFT, PBE-GGA
State: relaxed

Summary:
- E_tot: -8.879 eV per atom
- Magnetization: 0.0 μB/f.u.

Cell and atoms, written as CIF:
```
data_ZrAlOs2
_cell_length_a 3.927
_cell_length_b 2.942
_cell_length_c 5.868
_cell_angle_alpha 73.38
_cell_angle_beta 90.00
_cell_angle_gamma 90.00
_space_group_name_H-M_alt 'P 1'
_space_group_IT_number 1
loop_
_space_group_symop_operation_xyz
'x,y,z'
loop_
_atom_site_label
_atom_site_type_symbol
_atom_site_fract_x
_atom_site_fract_y
_atom_site_fract_z
Al1 Al 0.500 0.750 0.750
Os1 Os 0.000 0.933 0.967
Os2 Os 0.000 0.567 0.533
Zr1 Zr 0.500 0.250 0.250
```

No. 2
Material: Si2PW
Method: DFT, PBE-GGA
State: relaxed

Summary:
- E_tot: -7.113 eV per atom
- Energy relative to the elements, uncorrected: 189 meV per atom
- Magnetization: 0.0 μB/f.u.

Cell and atoms, written as CIF:
```
data_Si2PW
_cell_length_a 3.187
_cell_length_b 3.187
_cell_length_c 5.591
_cell_angle_alpha 90.00
_cell_angle_beta 90.00
_cell_angle_gamma 90.00
_space_group_name_H-M_alt 'P 1'
_space_group_IT_number 1
loop_
_space_group_symop_operation_xyz
'x,y,z'
loop_
_atom_site_label
_atom_site_type_symbol
_atom_site_fract_x
_atom_site_fract_y
_atom_site_fract_z
P1 P 0.500 0.500 0.716
W1 W 0.000 0.000 0.518
Si1 Si 0.000 0.000 0.019
Si2 Si 0.500 0.500 0.247
```